The following is a DFT calculation (GGA-PBE) of an optimized crystal structure of La2HfP2. Values from VASP.

Output
SG   P4/mbm
Fermi-level density of states   0.723 states/eV per atom
Energy   -7.17 eV/atom
Formation energy from the elements   -101 kJ/mol of atoms

Cell and atoms, written as Quantum ESPRESSO input:
```
&SYSTEM
  ibrav = 0, nat = 10, ntyp = 3
/
ATOMIC_SPECIES
La 138.91 La.upf
Hf 178.49 Hf.upf
P 30.97 P.upf
CELL_PARAMETERS angstrom
7.543 0.000 0.000
0.000 7.543 0.000
0.000 0.000 4.155
ATOMIC_POSITIONS angstrom
La 1.127 2.645 0.000
La 2.645 6.416 0.000
La 4.898 1.127 0.000
La 6.416 4.898 0.000
Hf 0.000 0.000 2.077
Hf 3.771 3.771 2.077
P 1.241 5.013 2.077
P 2.530 1.241 2.077
P 5.013 6.301 2.077
P 6.301 2.530 2.077
```